# 1
This record from the Alexandria database describes a geometry-optimized Ba6P2Br2O structure. The functional is GGA-PBE.

Cell lengths 7.7750, 7.7750, 8.2952 Å; angles 99.77, 99.77, 119.76 degrees
Fractional coordinates of all 11 atoms:
Ba  0.0763  0.3847  0.2104
Ba  0.2358  0.2358  0.7929
Ba  0.3847  0.0763  0.2104
Ba  0.6153  0.9237  0.7896
Ba  0.7642  0.7642  0.2071
Ba  0.9237  0.6153  0.7896
P  0.3318  0.6682  0.0000
P  0.6682  0.3318  0.0000
Br  0.1757  0.8243  0.5000
Br  0.8243  0.1757  0.5000
O  0.0000  0.0000  0.0000

Computed properties:
**Energy**: -4.30 eV/atom
**Magnetic moment**: 1.031 μB per formula unit
**Symmetry**: C2/m (12)


# 2
This record from the Alexandria database describes a geometry-optimized Sr4Pb2Cl structure. The functional is GGA-PBE.

Cell lengths 9.6040, 9.6040, 9.6040 Å; angles 146.18, 146.18, 48.57 degrees
Fractional coordinates of all 7 atoms:
Sr  0.0000  0.5000  0.5000
Sr  0.1852  0.1852  0.0000
Sr  0.5000  0.0000  0.5000
Sr  0.8148  0.8148  0.0000
Pb  0.3763  0.3763  0.0000
Pb  0.6237  0.6237  0.0000
Cl  0.0000  0.0000  0.0000

Computed properties:
**Energy**: -3.09 eV/atom
**Magnetic moment**: 0.000 μB per formula unit
**Symmetry**: I4/mmm (139)


# 3
This record from the Alexandria database describes a geometry-optimized NbTl2B structure. The functional is GGA-PBE.

Cell lengths 4.9147, 4.9147, 4.9147 Å; angles 60.00, 60.00, 60.00 degrees
Fractional coordinates of all 4 atoms:
Nb  0.0000  0.0000  0.0000
Tl  0.2500  0.2500  0.2500
Tl  0.7500  0.7500  0.7500
B  0.5000  0.5000  0.5000

Computed properties:
**Energy**: -3.89 eV/atom
**Magnetic moment**: 2.294 μB per formula unit
**Symmetry**: Fm-3m (225)


# 4
This record from the Alexandria database describes a geometry-optimized LaPmMgCd structure. The functional is GGA-PBE.

Cell lengths 5.5073, 5.5073, 5.5073 Å; angles 60.00, 60.00, 60.00 degrees
Fractional coordinates of all 4 atoms:
La  0.0000  0.0000  0.0000
Pm  0.5000  0.5000  0.5000
Mg  0.2500  0.2500  0.2500
Cd  0.7500  0.7500  0.7500

Computed properties:
**Energy**: -3.26 eV/atom
**Magnetic moment**: 0.000 μB per formula unit
**Symmetry**: F-43m (216)